1.
POsW2: PBEsol geometry, SCAN.

Cell lengths 3.036, 4.338, 4.353 Å; angles 90.00, 90.00, 90.00 degrees
Fractional positions:
P 0.000 0.500 0.500
Os 0.500 0.500 0.000
W 0.500 0.000 0.500
W 0.000 0.000 0.000

E_tot   -55.101 eV/atom
Density   17.057 g/cm3



2.
Fe2SiSb: PBEsol geometry, SCAN.

Cell lengths 2.952, 4.578, 4.185 Å; angles 102.71, 90.00, 108.81 degrees
Fractional positions:
Si 0.258 0.515 0.839
Fe 0.983 0.966 0.916
Sb 0.500 0.000 0.436
Fe 0.759 0.518 0.309

E_tot   -20.594 eV/atom
Density   8.340 g/cm3



3.
La2TeP: PBEsol geometry, SCAN.

Cell lengths 4.304, 4.304, 7.753 Å; angles 73.88, 73.88, 60.00 degrees
Fractional positions:
La 0.761 0.761 0.718
P 0.500 0.500 0.500
La 0.239 0.239 0.282
Te 0.000 0.000 0.000

E_tot   -35.325 eV/atom
Density   6.150 g/cm3
E above lowest polymorph   0.0000 eV/atom



4.
SrHgSb2: PBEsol geometry, SCAN.

Cell lengths 5.418, 5.418, 5.418 Å; angles 60.00, 60.00, 60.00 degrees
Fractional positions:
Sb 0.750 0.750 0.750
Hg 0.500 0.500 0.500
Sr 0.250 0.250 0.250
Sb 0.000 0.000 0.000

E_tot   -41.603 eV/atom
Density   7.852 g/cm3